[1]
DyP2RuRh2: optimized geometry, PBE.

Fermi-level density of states, states/eV/f.u.: 3.46
E_form, eV per atom: -0.744

a b c (Å): 4.1476 4.1476 6.3289
angles (deg): 90.00 90.00 120.00
Last column: nearest neighbours and their distance in Å.
Atoms (fractional coordinates):
Dy  0.0000  0.0000  0.0000  6 Rh 3.05, 6 P 3.09, 2 Ru 3.16
P  0.3333  0.6667  0.3078  4 Rh 2.40-2.50
P  0.6667  0.3333  0.6922  4 Rh 2.40-2.50
Ru  0.0000  0.0000  0.5000  6 P 2.69, 6 Rh 2.72
Rh  0.3333  0.6667  0.7026  4 P 2.40-2.50
Rh  0.6667  0.3333  0.2974  4 P 2.40-2.50

[2]
DyP2RuRh5: optimized geometry, PBE.

Fermi-level density of states, states/eV/f.u.: 8.02
E_form, eV per atom: -0.185

a b c (Å): 3.9447 3.9447 10.3950
angles (deg): 90.00 90.00 90.00
Last column: nearest neighbours and their distance in Å.
Atoms (fractional coordinates):
Dy  0.0000  0.0000  0.0000  4 Rh 2.79
P  0.5000  0.5000  0.2167  5 Rh 2.25-2.33
P  0.5000  0.5000  0.7833  5 Rh 2.25-2.33
Ru  0.5000  0.5000  0.5000  8 Rh 2.61
Rh  0.0000  0.5000  0.3355  2 P 2.33
Rh  0.0000  0.5000  0.6645  2 P 2.33
Rh  0.5000  0.0000  0.3355  2 P 2.33
Rh  0.5000  0.0000  0.6645  2 P 2.33
Rh  0.5000  0.5000  0.0000  2 P 2.25